Entry 1
Computed, not measured: a relaxed structure of Hf2GaGe2 at the PBE level of DFT.

a b c (Å): 7.0520 7.0520 3.7477
angles (deg): 90.00 90.00 90.00
Closest atoms and distances in Å follow each position.
Fractional positions:
1 Hf 0.8379 0.3379 0.5000  6 Ge 2.73-2.84
2 Ge 0.3605 0.8605 0.0000  6 Hf 2.73-2.84, 2 Ga 2.73, 1 Ge 2.78
3 Ge 0.8605 0.6395 0.0000  6 Hf 2.73-2.84, 2 Ga 2.73, 1 Ge 2.78
4 Hf 0.3379 0.1621 0.5000  6 Ge 2.73-2.84
5 Hf 0.1621 0.6621 0.5000  6 Ge 2.73-2.84
6 Ge 0.1395 0.3605 0.0000  6 Hf 2.73-2.84, 2 Ga 2.73, 1 Ge 2.78
7 Hf 0.6621 0.8379 0.5000  6 Ge 2.73-2.84
8 Ge 0.6395 0.1395 0.0000  6 Hf 2.73-2.84, 2 Ga 2.73, 1 Ge 2.78
9 Ga 0.0000 0.0000 0.0000  4 Ge 2.73
10 Ga 0.5000 0.5000 0.0000  4 Ge 2.73

**Size of the total moment**: 0.000 μB/f.u.
**Space-group type**: No. 127



Entry 2
Computed, not measured: a relaxed structure of Hf2GaGe2 at the PBE level of DFT.

a b c (Å): 3.5731 3.5731 8.0000
angles (deg): 77.10 77.10 90.00
Closest atoms and distances in Å follow each position.
Fractional positions:
1 Hf 0.6056 0.6056 0.7887  4 Ge 2.83, 4 Ga 2.99
2 Ge 0.7500 0.2500 0.5000  4 Ge 2.53, 4 Hf 2.83
3 Hf 0.3944 0.3944 0.2113  4 Ge 2.83, 4 Ga 2.99
4 Ge 0.2500 0.7500 0.5000  4 Ge 2.53, 4 Hf 2.83
5 Ga 0.0000 0.0000 0.0000  8 Hf 2.99

**Size of the total moment**: 0.000 μB/f.u.
**Space-group type**: No. 139



Relative energies, in meV/atom, with the most stable structure set to zero: entry 1 0; entry 2 79.